(1)
This record from Alexandria via LeMat-Bulk describes a geometry-optimized AcNdY2 structure. The functional is PBE-GGA.

Computed properties:
Magnetic moment in μB per formula unit: 0.00
Density in g/cm³: 6.40
Calculated total energy in eV per atom: -5.424
Formation energy in eV per formula unit: 0.108

a b c (Å): 3.728 7.341 12.602
angles (deg): 124.30 90.00 90.00
Element x y z (fractional)
Y: 0.911 0.705 0.871
Y: 0.910 0.698 0.362
Y: 0.410 0.206 0.620
Y: 0.410 0.200 0.111
Ac: 0.411 0.712 0.621
Ac: 0.910 0.193 0.361
Nd: 0.410 0.692 0.111
Nd: 0.910 0.213 0.870

***

(2)
This record from Alexandria via LeMat-Bulk describes a geometry-optimized LaErHgPb structure. The functional is PBE-GGA.

Computed properties:
Magnetic moment in μB per formula unit: 0.00
Density in g/cm³: 10.32
Calculated total energy in eV per atom: -3.785
Formation energy in eV per formula unit: -1.640

a b c (Å): 4.871 4.872 5.943
angles (deg): 114.20 114.20 90.00
Element x y z (fractional)
Er: 0.500 0.500 0.000
La: 0.000 0.000 0.000
Hg: 0.750 0.250 0.500
Pb: 0.250 0.750 0.500

***

(3)
This record from Alexandria via LeMat-Bulk describes a geometry-optimized Sr2ZnRe structure. The functional is PBE-GGA.

Computed properties:
Magnetic moment in μB per formula unit: 0.00
Density in g/cm³: 6.83
Calculated total energy in eV per atom: -3.534
Formation energy in eV per formula unit: 2.950

a b c (Å): 3.857 3.147 9.111
angles (deg): 69.83 90.00 90.00
Element x y z (fractional)
Sr: 0.000 0.484 0.516
Sr: 0.000 0.016 0.984
Zn: 0.500 0.250 0.250
Re: 0.500 0.750 0.750